Entry from Alexandria: an optimized crystal structure of BaLiAs2 (PBE).

Cell lengths 7.8500, 4.6205, 11.3066 Å; angles 90.00, 90.00, 90.00 degrees
Closest atoms and distances in Å follow each position.
Fractional positions:
Ba 0.1303 0.2500 0.1277  9 As 3.30-3.59, 2 Li 3.62
Ba 0.3697 0.7500 0.6277  9 As 3.30-3.59, 2 Li 3.62
Ba 0.6303 0.2500 0.3723  9 As 3.30-3.59, 2 Li 3.62
Ba 0.8697 0.7500 0.8723  9 As 3.30-3.59, 2 Li 3.62
Li 0.0147 0.2500 0.6202  5 As 2.58-2.87
Li 0.4853 0.7500 0.1202  5 As 2.58-2.87
Li 0.5147 0.2500 0.8798  5 As 2.58-2.87
Li 0.9853 0.7500 0.3798  5 As 2.58-2.87
As 0.1928 0.2500 0.8323  2 Li 2.58-2.78, 2 As 2.65
As 0.1954 0.2500 0.4163  2 As 2.65, 3 Li 2.71-2.87
As 0.3046 0.7500 0.9163  2 As 2.65, 3 Li 2.71-2.87
As 0.3072 0.7500 0.3323  2 Li 2.58-2.78, 2 As 2.65
As 0.6928 0.2500 0.6677  2 Li 2.58-2.78, 2 As 2.65
As 0.6954 0.2500 0.0837  2 As 2.65, 3 Li 2.71-2.87
As 0.8046 0.7500 0.5837  2 As 2.65, 3 Li 2.71-2.87
As 0.8072 0.7500 0.1677  2 Li 2.58-2.78, 2 As 2.65

Properties
Crystal system: orthorhombic
Size of the total moment, μB/f.u.: 0.0
ΔE to the lowest computed polymorph, meV/atom: 0
SG: Pnma

Entry from Alexandria: an optimized crystal structure of BaLiAs2 (PBE).

Cell lengths 7.3683, 7.3683, 7.3683 Å; angles 90.00, 90.00, 90.00 degrees
Closest atoms and distances in Å follow each position.
Fractional positions:
Ba 0.0000 0.0000 0.0000  4 As 3.19, 4 Li 3.19
Ba 0.0000 0.5000 0.5000  4 As 3.19, 4 Li 3.19
Ba 0.5000 0.0000 0.5000  4 As 3.19, 4 Li 3.19
Ba 0.5000 0.5000 0.0000  4 As 3.19, 4 Li 3.19
Li 0.2500 0.2500 0.2500  4 Ba 3.19, 4 As 3.19
Li 0.2500 0.7500 0.7500  4 Ba 3.19, 4 As 3.19
Li 0.7500 0.2500 0.7500  4 Ba 3.19, 4 As 3.19
Li 0.7500 0.7500 0.2500  4 Ba 3.19, 4 As 3.19
As 0.0000 0.0000 0.5000  4 As 3.19, 4 Li 3.19
As 0.0000 0.5000 0.0000  4 As 3.19, 4 Li 3.19
As 0.2500 0.2500 0.7500  4 Ba 3.19, 4 As 3.19
As 0.2500 0.7500 0.2500  4 Ba 3.19, 4 As 3.19
As 0.5000 0.0000 0.0000  4 As 3.19, 4 Li 3.19
As 0.5000 0.5000 0.5000  4 As 3.19, 4 Li 3.19
As 0.7500 0.2500 0.2500  4 Ba 3.19, 4 As 3.19
As 0.7500 0.7500 0.7500  4 Ba 3.19, 4 As 3.19

Properties
Crystal system: cubic
Size of the total moment, μB/f.u.: 0.0
ΔE to the lowest computed polymorph, meV/atom: 525
SG: F-43m

Entry from Alexandria: an optimized crystal structure of BaLiAs2 (PBE).

Cell lengths 4.7493, 4.7493, 4.5595 Å; angles 90.00, 90.00, 90.00 degrees
Closest atoms and distances in Å follow each position.
Fractional positions:
Ba 0.0000 0.0000 0.0000  8 As 3.29, 4 Li 3.36
Li 0.5000 0.5000 0.0000  8 As 3.29, 4 Ba 3.36
As 0.0000 0.5000 0.5000  4 Ba 3.29, 4 Li 3.29, 4 As 3.36
As 0.5000 0.0000 0.5000  4 Ba 3.29, 4 Li 3.29, 4 As 3.36

Properties
Crystal system: tetragonal
Size of the total moment, μB/f.u.: 0.0
ΔE to the lowest computed polymorph, meV/atom: 339
SG: P4/mmm